## SiB2C2 (GGA-PBE)

Data for SiB2C2 after structural relaxation.

Cell: 4.806 2.665 8.354 Å, 90.00 90.00 90.00°
Atoms (fractional coordinates):
Si1 0.000 0.000 0.979
Si2 0.500 0.500 0.479
B1 0.178 0.000 0.247
B2 0.822 0.000 0.247
B3 0.678 0.500 0.747
B4 0.322 0.500 0.747
C1 0.847 0.000 0.748
C2 0.153 0.000 0.748
C3 0.347 0.500 0.248
C4 0.653 0.500 0.248

Values from the calculation:
Energy relative to the lowest polymorph listed for this composition: 1.30 eV per formula unit
Uncorrected formation energy: 0.43 eV per atom
Raw total energy: -0.258 hartree per atom
Crystal system: orthorhombic
DOS at the Fermi energy: 0.597 states/eV/f.u.

---

## SiB2C3 (GGA-PBE)

Data for SiB2C3 after structural relaxation.

Cell: 3.032 4.488 5.173 Å, 76.27 80.00 88.95°
Atoms (fractional coordinates):
Si1 0.141 0.313 0.536
B1 0.813 0.550 0.052
B2 0.711 0.774 0.509
C1 0.195 0.894 0.574
C2 0.955 0.598 0.765
C3 0.696 0.495 0.342

Values from the calculation:
Energy relative to the lowest polymorph listed for this composition: 1.72 eV per formula unit
Uncorrected formation energy: 0.49 eV per atom
Raw total energy: -0.267 hartree per atom
Crystal system: triclinic
DOS at the Fermi energy: 0.000 states/eV/f.u.